Here is a crystal of Na3ReBi relaxed with PBEsol from the Alexandria database. Energies are from SCAN.

Calculated values
- ΔE to the lowest computed polymorph (eV per formula unit) = 0.00
- calculated formation energy (eV/atom) = 1.30

Cell: 5.845 5.845 5.845 Å, 90.00 90.00 90.00°
Atoms (fractional coordinates):
Bi: 0.000 0.000 0.000
Re: 0.500 0.500 0.500
Na: 0.000 0.500 0.000
Na: 0.500 0.000 0.000
Na: 0.000 0.000 0.500